The following is a DFT calculation (PBE) of a relaxed structure of AcPmCo2.

It has space group Fm-3m (No. 225), with a = 7.095 Å, b = 7.095 Å, c = 7.095 Å, α = 90.00°, β = 90.00° and γ = 90.00°. Symmetry generates all atoms from Ac at (0.000, 0.000, 0.000), Pm at (0.000, 0.000, 0.500) and Co at (0.250, 0.250, 0.250).

For the calculated total energy, the calculation gives -0.2070 Ha/atom. The energy relative to the lowest polymorph listed for this composition is 163 meV/atom.